## Li2Zn5Cu2Ni (PBE)

Data for Li2Zn5Cu2Ni after structural relaxation.

Structure (POSCAR):
```
Li2Zn5Cu2Ni
1.0
2.843 0.000 0.000
0.000 10.287 0.000
0.000 0.000 10.287
Cu Zn Li Ni
4 10 4 2
direct
0.000 0.363 0.137 Cu
0.000 0.137 0.637 Cu
0.000 0.863 0.363 Cu
0.000 0.637 0.863 Cu
0.500 0.317 0.562 Zn
0.500 0.000 0.500 Zn
0.500 0.183 0.062 Zn
0.500 0.562 0.683 Zn
0.500 0.938 0.183 Zn
0.500 0.817 0.938 Zn
0.500 0.438 0.317 Zn
0.500 0.683 0.438 Zn
0.500 0.062 0.817 Zn
0.500 0.500 0.000 Zn
0.000 0.326 0.826 Li
0.000 0.174 0.326 Li
0.000 0.674 0.174 Li
0.000 0.826 0.674 Li
0.000 0.500 0.500 Ni
0.000 0.000 0.000 Ni
```

Computed properties:
Energy of formation = -125 meV/atom
Total DFT energy (no corrections) = -50.84 eV/cell
Fermi-level density of states = 6.3 states/eV/cell